[1]
Entry from Alexandria: a relaxed structure of LiCr3Ni (GGA-PBE).

Summary:
excess energy over the best structure of this formula in the dataset	0	meV/atom
symmetry	Pm-3m, No. 221
magnetic moment	12.1	μB/cell
crystal system	cubic
calculated density	3.75	g/cm3

Unit cell a=4.612 b=4.612 c=4.612 alpha=90.00 beta=90.00 gamma=90.00
Site moments in Bohr magnetons follow the coordinates.
Positions (direct):
Ni  0.000  0.000  0.000  0.43
Li  0.500  0.500  0.500  0.01
Cr  0.000  0.500  0.000  3.40
Cr  0.000  0.000  0.500  3.47
Cr  0.500  0.000  0.000  3.50

***

[2]
Entry from Alexandria: a relaxed structure of LiCrNi2 (GGA-PBE).

Summary:
excess energy over the best structure of this formula in the dataset	45	meV/atom
symmetry	R-3m, No. 166
magnetic moment	0.0	μB/cell
crystal system	trigonal
calculated density	6.41	g/cm3

Unit cell a=8.535 b=8.535 c=8.535 alpha=16.87 beta=16.87 gamma=16.87
Positions (direct):
Cr  0.250  0.250  0.250
Li  0.750  0.750  0.750
Ni  0.997  0.997  0.997
Ni  0.503  0.503  0.503

***

[3]
Entry from Alexandria: a relaxed structure of LiCrNi2 (GGA-PBE).

Summary:
excess energy over the best structure of this formula in the dataset	68	meV/atom
symmetry	Cm, No. 8
magnetic moment	0.8	μB/cell
crystal system	monoclinic
calculated density	6.51	g/cm3

Unit cell a=4.447 b=4.447 c=4.364 alpha=80.68 beta=80.68 gamma=31.93
Site moments in Bohr magnetons follow the coordinates.
Positions (direct):
Cr  0.513  0.513  0.458  0.65
Li  0.741  0.741  0.792  -0.01
Ni  0.988  0.988  0.967  0.08
Ni  0.259  0.259  0.284  0.00

***

[4]
Entry from Alexandria: a relaxed structure of LiCrNi2 (GGA-PBE).

Summary:
excess energy over the best structure of this formula in the dataset	76	meV/atom
symmetry	Pmmm, No. 47
magnetic moment	1.1	μB/cell
crystal system	orthorhombic
calculated density	6.51	g/cm3

Unit cell a=3.483 b=2.496 c=5.745 alpha=64.27 beta=90.00 gamma=90.00
Site moments in Bohr magnetons follow the coordinates.
Positions (direct):
Cr  0.500  0.250  0.250  0.90
Li  0.500  0.750  0.750  -0.01
Ni  0.000  0.993  0.006  0.09
Ni  0.000  0.507  0.494  0.09

***

[5]
Entry from Alexandria: a relaxed structure of LiCr2Ni9 (GGA-PBE).

Summary:
symmetry	P4/mmm, No. 123
magnetic moment	1.8	μB/cell
total DFT energy (no corrections)	-73.298	eV/cell
crystal system	tetragonal
calculated density	8.02	g/cm3

Unit cell a=3.537 b=3.537 c=10.576 alpha=90.00 beta=90.00 gamma=90.00
Site moments in Bohr magnetons follow the coordinates.
Positions (direct):
Li  0.000  0.000  0.000  0.01
Cr  0.000  0.000  0.328  1.78
Cr  0.000  0.000  0.672  1.78
Ni  0.500  0.500  0.000  -0.49
Ni  0.500  0.500  0.334  -0.10
Ni  0.500  0.500  0.666  -0.10
Ni  0.500  0.000  0.168  -0.30
Ni  0.500  0.000  0.500  -0.06
Ni  0.500  0.000  0.832  -0.30
Ni  0.000  0.500  0.168  -0.30
Ni  0.000  0.500  0.500  -0.06
Ni  0.000  0.500  0.832  -0.30

***

[6]
Entry from Alexandria: a relaxed structure of Li2CrNi (GGA-PBE).

Summary:
excess energy over the best structure of this formula in the dataset	154	meV/atom
symmetry	Pmmm, No. 47
magnetic moment	2.1	μB/cell
crystal system	orthorhombic
calculated density	4.13	g/cm3

Unit cell a=2.371 b=4.342 c=4.863 alpha=90.00 beta=90.00 gamma=90.00
Site moments in Bohr magnetons follow the coordinates.
Positions (direct):
Cr  0.500  0.500  0.750  1.69
Li  0.000  0.000  0.009  -0.01
Li  0.000  0.000  0.491  -0.01
Ni  0.500  0.500  0.250  0.30

***

[7]
Entry from Alexandria: a relaxed structure of LiCrNi (GGA-PBE).

Summary:
excess energy over the best structure of this formula in the dataset	156	meV/atom
symmetry	I4mm, No. 107
magnetic moment	2.9	μB/cell
crystal system	tetragonal
calculated density	5.10	g/cm3

Unit cell a=4.876 b=4.876 c=4.876 alpha=144.83 beta=144.83 gamma=50.58
Site moments in Bohr magnetons follow the coordinates.
Positions (direct):
Cr  0.019  0.019  0.000  2.49
Li  0.324  0.324  0.000  0.00
Ni  0.657  0.657  0.000  0.26

***

[8]
Entry from Alexandria: a relaxed structure of LiCr2Ni2 (GGA-PBE).

Summary:
excess energy over the best structure of this formula in the dataset	70	meV/atom
symmetry	P4/mbm, No. 127
magnetic moment	3.6	μB/cell
crystal system	tetragonal
calculated density	6.13	g/cm3

Unit cell a=7.100 b=7.100 c=2.456 alpha=90.00 beta=90.00 gamma=90.00
Site moments in Bohr magnetons follow the coordinates.
Positions (direct):
Ni  0.375  0.875  0.000  0.03
Ni  0.875  0.625  0.000  0.03
Ni  0.625  0.125  0.000  0.03
Ni  0.125  0.375  0.000  0.03
Li  0.000  0.000  0.000  0.00
Li  0.500  0.500  0.000  0.00
Cr  0.169  0.669  0.500  0.85
Cr  0.669  0.831  0.500  0.81
Cr  0.831  0.331  0.500  0.85
Cr  0.331  0.169  0.500  0.81

***

[9]
Entry from Alexandria: a relaxed structure of Li2CrNi (GGA-PBE).

Summary:
excess energy over the best structure of this formula in the dataset	74	meV/atom
symmetry	Cm, No. 8
magnetic moment	0.5	μB/cell
crystal system	monoclinic
calculated density	4.16	g/cm3

Unit cell a=4.258 b=4.258 c=5.087 alpha=86.38 beta=86.38 gamma=32.69
Site moments in Bohr magnetons follow the coordinates.
Positions (direct):
Cr  0.244  0.244  0.296  0.47
Li  0.001  0.001  0.982  0.00
Li  0.758  0.758  0.761  0.00
Ni  0.497  0.497  0.461  0.00

***

[10]
Entry from Alexandria: a relaxed structure of Li2CrNi (GGA-PBE).

Summary:
excess energy over the best structure of this formula in the dataset	187	meV/atom
symmetry	Cmmm, No. 65
magnetic moment	4.0	μB/cell
crystal system	orthorhombic
calculated density	3.74	g/cm3

Unit cell a=4.866 b=4.866 c=2.675 alpha=90.00 beta=90.00 gamma=119.00
Site moments in Bohr magnetons follow the coordinates.
Positions (direct):
Cr  0.000  0.500  0.500  3.42
Li  0.000  0.000  0.000  0.00
Li  0.500  0.500  0.000  0.00
Ni  0.500  0.000  0.500  0.27

***

[11]
Entry from Alexandria: a relaxed structure of LiCrNi2 (GGA-PBE).

Summary:
excess energy over the best structure of this formula in the dataset	151	meV/atom
symmetry	P4mm, No. 99
magnetic moment	0.4	μB/cell
crystal system	tetragonal
calculated density	6.28	g/cm3

Unit cell a=2.424 b=2.424 c=7.936 alpha=90.00 beta=90.00 gamma=90.00
Site moments in Bohr magnetons follow the coordinates.
Positions (direct):
Cr  0.000  0.000  0.474  0.11
Li  0.500  0.500  0.770  0.00
Ni  0.000  0.000  0.014  0.11
Ni  0.500  0.500  0.243  0.19

***

[12]
Entry from Alexandria: a relaxed structure of LiCrNi2 (GGA-PBE).

Summary:
excess energy over the best structure of this formula in the dataset	95	meV/atom
symmetry	R3m, No. 160
magnetic moment	0.0	μB/cell
crystal system	trigonal
calculated density	6.35	g/cm3

Unit cell a=8.729 b=8.729 c=8.729 alpha=16.37 beta=16.37 gamma=16.37
Positions (direct):
Cr  0.507  0.507  0.507
Li  0.745  0.745  0.745
Ni  0.998  0.998  0.998
Ni  0.250  0.250  0.250